Pm2MgSi3Au12 | PBE | relaxed

The structure in CIF format:
```
data_Pm2MgSi3Au12
_cell_length_a 8.9604
_cell_length_b 8.9604
_cell_length_c 17.5145
_cell_angle_alpha 90.00
_cell_angle_beta 90.00
_cell_angle_gamma 120.00
_symmetry_space_group_name_H-M 'R -3 m'
_symmetry_Int_Tables_number 166
_symmetry_space_group_name_Hall '-R 3 2"'
loop_
_atom_site_label
_atom_site_type_symbol
_atom_site_fract_x
_atom_site_fract_y
_atom_site_fract_z
Pm1 Pm 0.0000 0.0000 0.1029
Mg1 Mg 0.0000 0.0000 0.5000
Si1 Si 0.0000 0.5000 0.0000
Au1 Au 0.0146 0.5073 0.8609
Au2 Au 0.0259 0.5129 0.3182
```

The uncorrected energy is -208.4 eV/cell. The crystal system is trigonal. For the density, the calculation gives 11.3 g/cm³. The value obtained for the total magnetization is 0.00 μB per formula unit. Its uncorrected formation energy is -0.15 eV/atom. As for the density of states at the Fermi level: 15.2 states/eV/cell.


BaLiLuIn | PBE | relaxed

The structure in CIF format:
```
data_BaLiLuIn
_cell_length_a 7.950
_cell_length_b 7.950
_cell_length_c 7.950
_cell_angle_alpha 90.00
_cell_angle_beta 90.00
_cell_angle_gamma 90.00
_symmetry_space_group_name_H-M 'F -4 3 m'
_symmetry_Int_Tables_number 216
_symmetry_space_group_name_Hall 'F -4 2 3'
loop_
_atom_site_label
_atom_site_type_symbol
_atom_site_fract_x
_atom_site_fract_y
_atom_site_fract_z
Ba1 Ba 0.000 0.000 0.000
Li1 Li 0.250 0.250 0.250
Lu1 Lu 0.000 0.000 0.500
In1 In 0.250 0.250 0.750
```

The uncorrected energy is -45.7 eV/cell. The crystal system is cubic. For the density, the calculation gives 5.7 g/cm³. The value obtained for the total magnetization is 0.00 μB per formula unit. As for the density of states at the Fermi level: 16.5 states/eV/cell. The formation energy from the elements comes out at -0.080 eV per atom.